1.
## PrPaPd2 (PBE-GGA)

Data for crystalline PrPaPd2 at its relaxed geometry.

Calculated values
Density of states at the Fermi level: 0.96 states/eV per atom
Distance to the lowest polymorph of the same formula: 42 meV per atom
Calculated volume: 25.239 Å³/atom
SG: No. 166
Total magnetic moment: 0.00 μB per cell
Crystal system: trigonal

Lattice parameters (Å, degrees): 3.9531 3.9531 7.8011 75.32 75.32 60.00
Last column: nearest neighbours and their distance in Å.
Fractional coordinates of all 4 atoms:
Pr1 0.5000 0.5000 0.5000  6 Pd 3.07
Pa1 0.0000 0.0000 0.0000  6 Pd 2.83
Pd1 0.7414 0.7414 0.7759  3 Pa 2.83, 3 Pr 3.07
Pd2 0.2586 0.2586 0.2241  3 Pa 2.83, 3 Pr 3.07



2.
## DyTh3Fe (PBE-GGA)

Data for crystalline DyTh3Fe at its relaxed geometry.

Calculated values
DFT total energy: -6.99 eV per atom
Density of states at the Fermi level: 2.05 states/eV per atom
Calculated volume: 30.067 Å³/atom
SG: No. 221
Total magnetic moment: 0.00 μB per cell
Crystal system: cubic

Lattice parameters (Å, degrees): 5.3173 5.3173 5.3173 90.00 90.00 90.00
Last column: nearest neighbours and their distance in Å.
Fractional coordinates of all 5 atoms:
Fe1 0.0000 0.0000 0.0000  6 Th 2.66
Th1 0.0000 0.5000 0.0000  2 Fe 2.66
Th2 0.0000 0.0000 0.5000  2 Fe 2.66
Th3 0.5000 0.0000 0.0000  2 Fe 2.66
Dy1 0.5000 0.5000 0.5000  12 Th 3.76



3.
## Ac4PmTe6 (PBE-GGA)

Data for crystalline Ac4PmTe6 at its relaxed geometry.

Calculated values
Density of states at the Fermi level: 0.60 states/eV per atom
Raw formation energy: -1458 meV/atom
Calculated volume: 35.826 Å³/atom
SG: No. 167
Total magnetic moment: 0.00 μB per cell
Crystal system: trigonal

Lattice parameters (Å, degrees): 9.2378 9.2378 9.2378 89.34 89.34 90.66
Last column: nearest neighbours and their distance in Å.
Fractional coordinates of all 22 atoms:
Ac1 0.3606 0.1394 0.2500  8 Te 3.40-3.62
Ac2 0.8606 0.2500 0.3606  8 Te 3.40-3.62
Ac3 0.2500 0.6394 0.1394  8 Te 3.40-3.62
Ac4 0.2500 0.2500 0.7500  6 Te 3.32
Ac5 0.7500 0.7500 0.2500  6 Te 3.32
Ac6 0.7500 0.3606 0.8606  8 Te 3.40-3.62
Ac7 0.1394 0.7500 0.6394  8 Te 3.40-3.62
Ac8 0.6394 0.8606 0.7500  8 Te 3.40-3.62
Pm1 0.5000 0.5000 0.5000  6 Te 3.11
Pm2 0.0000 0.0000 0.0000  6 Te 3.11
Te1 0.6793 0.0604 0.0817  1 Pm 3.11, 3 Ac 3.32-3.48
Te2 0.0817 0.3207 0.0604  1 Pm 3.11, 3 Ac 3.32-3.48
Te3 0.5817 0.4396 0.1793  1 Pm 3.11, 3 Ac 3.32-3.48
Te4 0.9396 0.0817 0.6793  1 Pm 3.11, 3 Ac 3.32-3.48
Te5 0.5604 0.1793 0.5817  1 Pm 3.11, 3 Ac 3.32-3.48
Te6 0.1793 0.4183 0.4396  1 Pm 3.11, 3 Ac 3.32-3.48
Te7 0.8207 0.5817 0.5604  1 Pm 3.11, 3 Ac 3.32-3.48
Te8 0.4396 0.8207 0.4183  1 Pm 3.11, 3 Ac 3.32-3.48
Te9 0.0604 0.9183 0.3207  1 Pm 3.11, 3 Ac 3.32-3.48
Te10 0.4183 0.5604 0.8207  1 Pm 3.11, 3 Ac 3.32-3.48
Te11 0.9183 0.6793 0.9396  1 Pm 3.11, 3 Ac 3.32-3.48
Te12 0.3207 0.9396 0.9183  1 Pm 3.11, 3 Ac 3.32-3.48



Question: Number 3 is which compound?
Answer: Ac4PmTe6



Question: Number 1 is which compound?
Answer: PrPaPd2



Question: What is the density of states at the Fermi level in the third record?
Answer: 0.60 states/eV per atom